{"formula": "LiMn3In2O6", "functional": "PBE+U", "state": "optimized geometry", "lattice_angstrom": [[-1.8442, -1.5358, 2.2108], [2.5763, -5.7119, -1.8189], [5.1959, 2.9600, 3.9825]], "species": ["O", "O", "O", "O", "O", "O", "In", "In", "Mn", "Mn", "Mn", "Li"], "fractional_positions": [[0.0012, 0.7410, 0.0023], [0.9988, 0.2590, 0.9977], [0.3318, 0.4126, 0.6637], [0.6689, 0.0802, 0.3378], [0.6682, 0.5874, 0.3363], [0.3311, 0.9198, 0.6622], [0.8395, 0.6790, 0.6790], [0.1605, 0.3210, 0.3210], [0.1600, 0.8369, 0.3200], [0.8400, 0.1631, 0.6800], [0.5000, 0.5000, 0.0000], [0.5000, 0.0000, 0.0000]], "m_tot_mub_per_atom": 1.23, "crystal_system": "monoclinic", "volume_a3_per_fu": 144.8, "dft_energy_ev_per_atom": -6.453}